Below is a relaxed structure of BaSr2CdNi, with properties calculated at the PBE level. Values from VASP.

## Properties
V (Å³ per cell): 200.1
Fermi-level density of states (states/eV/atom): 0.675
Polymorph energy (0 for the lowest one) (meV per atom): 0.0
Formation energy from the elements (eV per atom): -0.036
Space group: P4/mmm (123)

```
&SYSTEM
  ibrav = 0, nat = 5, ntyp = 4
/
ATOMIC_SPECIES
Sr 87.62 Sr.upf
Ni 58.69 Ni.upf
Ba 137.33 Ba.upf
Cd 112.41 Cd.upf
CELL_PARAMETERS angstrom
5.787 0.000 0.000
0.000 5.787 0.000
0.000 0.000 5.977
ATOMIC_POSITIONS angstrom
Sr 0.000 2.893 0.000
Sr 2.893 0.000 0.000
Ni 0.000 0.000 0.000
Ba 0.000 0.000 2.988
Cd 2.893 2.893 2.988
```